An optimized crystal structure of MoP2OsCl, computed with PBE.

extended XYZ file:
```
5
Lattice="4.533 0.000 0.000 0.000 4.533 0.000 0.000 0.000 5.062" Properties=species:S:1:pos:R:3 pbc="T T T"
Mo 0.000 0.000 0.000
P 0.000 2.267 2.531
P 2.267 0.000 2.531
Os 2.267 2.267 2.531
Cl 2.267 2.267 0.000
```

Properties
SG	No. 123
total moment	0.82	μB/atom
N(E_F)	4.198	states/eV/f.u.
formation energy from raw total energies	1.070	eV per atom
ΔE to the lowest computed polymorph	0.000	eV/atom
calculated total energy	-5.88	eV per atom